# 1
Computed, not measured: a relaxed structure of Tm4CdIr2 at the GGA-PBE level of DFT. Values from VASP.

The structure in Quantum ESPRESSO input format:
```
&SYSTEM
  ibrav = 0, nat = 14, ntyp = 3
/
ATOMIC_SPECIES
Tm 168.93 Tm.upf
Cd 112.41 Cd.upf
Ir 192.22 Ir.upf
ATOMIC_POSITIONS angstrom
Tm 0.000 0.000 0.000
Tm -1.221 -1.750 4.122
Tm -2.043 1.574 5.232
Tm 1.230 3.405 0.961
Tm 0.727 3.835 4.381
Tm 1.550 0.510 4.979
Tm 3.417 0.003 2.041
Tm 4.649 3.404 1.082
Cd -0.388 1.205 2.711
Cd 0.430 -2.117 6.644
Ir -0.603 5.299 2.395
Ir 0.220 1.978 6.961
Ir 2.867 2.476 3.243
Ir 3.692 -0.847 6.116
CELL_PARAMETERS angstrom
6.839 0.000 0.000
-1.647 6.648 0.000
-2.596 -3.322 7.315
```

Calculated values
Its theoretical density is 11.7 g cm⁻³. Its formation enthalpy at 0 K is -434 kJ/mol of formula units. Its space group is P1, No. 1.

---

# 2
Computed, not measured: a relaxed structure of Tm6CdIr at the GGA-PBE level of DFT. Values from VASP.

The structure in Quantum ESPRESSO input format:
```
&SYSTEM
  ibrav = 0, nat = 16, ntyp = 3
/
ATOMIC_SPECIES
Tm 168.93 Tm.upf
Cd 112.41 Cd.upf
Ir 192.22 Ir.upf
ATOMIC_POSITIONS angstrom
Tm 0.856 2.162 1.471
Tm 0.856 9.061 1.471
Tm -0.399 0.000 4.642
Tm 1.274 5.612 1.417
Tm 0.020 3.450 4.588
Tm 0.020 7.774 4.588
Tm 4.344 3.450 1.471
Tm 4.344 7.774 1.471
Tm 3.089 5.612 4.642
Tm 4.762 0.000 1.417
Tm 3.507 2.162 4.588
Tm 3.507 9.061 4.588
Cd -1.306 5.612 3.030
Cd 2.182 0.000 3.030
Ir 0.000 0.000 0.000
Ir 3.488 5.612 0.000
CELL_PARAMETERS angstrom
6.976 0.000 0.000
0.000 11.223 0.000
-2.613 0.000 6.059
```

Calculated values
Its theoretical density is 9.2 g cm⁻³. Its formation enthalpy at 0 K is -98 kJ/mol of formula units. Its space group is C2/m, No. 12.

---

# 3
Computed, not measured: a relaxed structure of Tm4Cd3Ir at the GGA-PBE level of DFT. Values from VASP.

The structure in Quantum ESPRESSO input format:
```
&SYSTEM
  ibrav = 0, nat = 8, ntyp = 3
/
ATOMIC_SPECIES
Tm 168.93 Tm.upf
Cd 112.41 Cd.upf
Ir 192.22 Ir.upf
ATOMIC_POSITIONS angstrom
Tm 0.000 0.000 1.579
Tm 0.000 0.000 5.631
Tm 0.000 0.000 9.565
Tm 0.000 0.000 13.617
Cd 1.766 1.766 3.672
Cd 1.766 1.766 7.598
Cd 1.766 1.766 11.524
Ir 1.766 1.766 0.000
CELL_PARAMETERS angstrom
3.532 0.000 0.000
0.000 3.532 0.000
0.000 0.000 15.196
```

Calculated values
Its theoretical density is 10.6 g cm⁻³. Its formation enthalpy at 0 K is -372 kJ/mol of formula units. Its space group is P4/mmm, No. 123.

---

# 4
Computed, not measured: a relaxed structure of Tm3Cd2Ir at the GGA-PBE level of DFT. Values from VASP.

The structure in Quantum ESPRESSO input format:
```
&SYSTEM
  ibrav = 0, nat = 12, ntyp = 3
/
ATOMIC_SPECIES
Tm 168.93 Tm.upf
Cd 112.41 Cd.upf
Ir 192.22 Ir.upf
ATOMIC_POSITIONS angstrom
Tm 0.000 0.000 1.723
Tm 0.000 0.000 5.677
Tm 2.498 2.608 1.645
Tm 2.498 2.608 5.754
Tm 2.498 -2.608 1.645
Tm 2.498 -2.608 5.754
Cd 2.498 5.015 3.700
Cd 2.498 0.000 0.000
Cd 2.498 0.000 3.700
Cd 2.498 -5.015 3.700
Ir 2.498 5.104 0.000
Ir 2.498 -5.104 0.000
CELL_PARAMETERS angstrom
2.498 -7.479 0.000
2.498 7.479 0.000
0.000 0.000 7.400
```

Calculated values
Its theoretical density is 11.1 g cm⁻³. Its formation enthalpy at 0 K is -319 kJ/mol of formula units. Its space group is Cmmm, No. 65.

---

# 5
Computed, not measured: a relaxed structure of Tm4Cd5Ir2 at the GGA-PBE level of DFT. Values from VASP.

The structure in Quantum ESPRESSO input format:
```
&SYSTEM
  ibrav = 0, nat = 11, ntyp = 3
/
ATOMIC_SPECIES
Tm 168.93 Tm.upf
Cd 112.41 Cd.upf
Ir 192.22 Ir.upf
ATOMIC_POSITIONS angstrom
Tm 1.063 0.000 3.334
Tm 0.954 0.000 8.954
Tm 6.043 0.000 0.525
Tm 5.934 0.000 6.145
Cd 0.992 1.795 6.184
Cd 3.386 1.795 1.606
Cd 3.499 1.795 4.739
Cd 3.611 1.795 7.873
Cd 6.005 1.795 3.294
Ir 0.493 1.795 1.375
Ir 6.504 1.795 8.103
CELL_PARAMETERS angstrom
7.682 0.000 0.000
0.000 3.589 0.000
-0.685 0.000 9.479
```

Calculated values
Its theoretical density is 10.3 g cm⁻³. Its formation enthalpy at 0 K is -533 kJ/mol of formula units. Its space group is P2/m, No. 10.

---

# 6
Computed, not measured: a relaxed structure of Tm7Cd2Ir2 at the GGA-PBE level of DFT. Values from VASP.

The structure in Quantum ESPRESSO input format:
```
&SYSTEM
  ibrav = 0, nat = 11, ntyp = 3
/
ATOMIC_SPECIES
Tm 168.93 Tm.upf
Cd 112.41 Cd.upf
Ir 192.22 Ir.upf
ATOMIC_POSITIONS angstrom
Tm 0.000 0.000 0.000
Tm 2.027 2.672 1.748
Tm 2.027 2.672 5.279
Tm 2.027 -2.672 1.748
Tm 2.027 -2.672 5.279
Tm 4.053 0.000 1.703
Tm 4.053 0.000 5.324
Cd 1.438 0.000 3.513
Cd 6.668 0.000 3.513
Ir 4.053 2.289 0.000
Ir 4.053 -2.289 0.000
CELL_PARAMETERS angstrom
4.053 -5.344 0.000
4.053 5.344 0.000
0.000 0.000 7.027
```

Calculated values
Its theoretical density is 9.8 g cm⁻³. Its formation enthalpy at 0 K is -445 kJ/mol of formula units. Its space group is Cmmm, No. 65.

---

# 7
Computed, not measured: a relaxed structure of Tm5Cd4Ir at the GGA-PBE level of DFT. Values from VASP.

The structure in Quantum ESPRESSO input format:
```
&SYSTEM
  ibrav = 0, nat = 10, ntyp = 3
/
ATOMIC_SPECIES
Tm 168.93 Tm.upf
Cd 112.41 Cd.upf
Ir 192.22 Ir.upf
ATOMIC_POSITIONS angstrom
Tm 0.000 0.000 0.000
Tm 0.000 0.000 3.890
Tm 0.000 0.000 7.870
Tm 0.000 0.000 11.012
Tm 0.000 0.000 14.992
Cd 1.780 1.780 1.938
Cd 1.780 1.780 5.811
Cd 1.780 1.780 13.071
Cd 1.780 1.780 16.944
Ir 1.780 1.780 9.441
CELL_PARAMETERS angstrom
3.561 0.000 0.000
0.000 3.561 0.000
0.000 0.000 18.882
```

Calculated values
Its theoretical density is 10.3 g cm⁻³. Its formation enthalpy at 0 K is -430 kJ/mol of formula units. Its space group is P4/mmm, No. 123.

---

# 8
Computed, not measured: a relaxed structure of Tm8Cd2Ir at the GGA-PBE level of DFT. Values from VASP.

The structure in Quantum ESPRESSO input format:
```
&SYSTEM
  ibrav = 0, nat = 11, ntyp = 3
/
ATOMIC_SPECIES
Tm 168.93 Tm.upf
Cd 112.41 Cd.upf
Ir 192.22 Ir.upf
ATOMIC_POSITIONS angstrom
Tm -0.331 0.000 1.851
Tm 1.574 0.000 5.104
Tm 4.753 0.000 3.523
Tm 6.918 0.000 0.495
Tm 8.115 0.000 5.954
Tm 10.280 0.000 2.926
Tm 13.458 0.000 1.345
Tm 15.363 0.000 4.598
Cd 2.660 0.000 1.327
Cd 12.373 0.000 5.122
Ir 7.516 0.000 3.225
CELL_PARAMETERS angstrom
8.703 -2.613 0.000
8.703 2.613 0.000
-2.374 0.000 6.449
```

Calculated values
Its theoretical density is 10.0 g cm⁻³. Its formation enthalpy at 0 K is -309 kJ/mol of formula units. Its space group is C2/m, No. 12.

---

| no. | DOS(E_F) (states/eV/cell) |
| --- | --- |
| 1 | 8.90 |
| 2 | 20.45 |
| 3 | 4.96 |
| 4 | 5.06 |
| 5 | 6.32 |
| 6 | 9.89 |
| 7 | 6.18 |
| 8 | 8.77 |